1.
# LiTaSb2O6

A relaxed structure of LiTaSb2O6 (PBE, the Alexandria database).

Output
E_tot ... -7.123 eV/atom
E_form (uncorrected) ... -1946.6 meV/atom
Density of states at the Fermi level ... 0.000 states/eV per atom
Total magnetization ... 0.00 μB/cell

Cell: 6.1632 5.7386 5.9416 Å, 78.17 123.44 120.26°
Fractional positions:
O 0.5120 0.7655 0.6657
Sb 0.6029 0.8660 0.3690
O 0.8770 0.6692 0.1631
Sb 0.6472 0.3860 0.8493
O 0.9332 0.6829 0.7474
Li 0.0792 0.5805 0.5630
Ta 0.9970 0.9982 0.9805
O 0.4112 0.1231 0.2074
O 0.9705 0.1805 0.6515
O 0.9354 0.2257 0.1056


2.
# LiTb2SbO6

A relaxed structure of LiTb2SbO6 (PBE, the Alexandria database).

Output
E_tot ... -7.117 eV/atom
E_form (uncorrected) ... -2612.0 meV/atom
Density of states at the Fermi level ... 0.000 states/eV per atom
Total magnetization ... 0.00 μB/cell

Cell: 5.5936 5.5936 5.8258 Å, 61.31 61.31 60.00°
Fractional positions:
Tb 0.5333 0.5333 0.4002
Tb 0.0299 0.0299 0.9104
Li 0.7974 0.7974 0.6079
O 0.1154 0.4387 0.7706
O 0.4387 0.6754 0.7706
O 0.6754 0.1154 0.7706
O 0.2001 0.9709 0.2482
O 0.9709 0.5808 0.2482
O 0.5808 0.2001 0.2482
Sb 0.3199 0.3198 0.0405


3.
# LiTcSb2O8

A relaxed structure of LiTcSb2O8 (PBE, the Alexandria database).

Output
E_tot ... -6.433 eV/atom
E_form (uncorrected) ... -1417.1 meV/atom
Density of states at the Fermi level ... 0.361 states/eV per atom
Total magnetization ... 1.95 μB/cell

Cell: 4.7211 4.7194 6.2480 Å, 90.00 90.00 88.88°
Fractional positions:
O 0.1985 0.8011 0.2293
O 0.3071 0.3065 0.5000
Sb 0.5000 0.5000 0.2570
O 0.3018 0.3014 0.0000
O 0.6982 0.6986 0.0000
Tc 0.0000 0.0000 0.0000
Sb 0.5000 0.5000 0.7430
O 0.1985 0.8011 0.7707
Li 0.0000 0.0000 0.5000
O 0.8015 0.1989 0.7707
O 0.6929 0.6935 0.5000
O 0.8015 0.1989 0.2293


4.
# LiSbTe3O12

A relaxed structure of LiSbTe3O12 (PBE, the Alexandria database).

Output
Polymorph energy (0 for the lowest one) ... 11 kJ/mol of formula units
E_tot ... -5.477 eV/atom
E_form (uncorrected) ... -1067.5 meV/atom
Total magnetization ... 0.00 μB/cell

Cell: 8.5504 4.9228 5.2399 Å, 89.03 90.00 90.00°
Fractional positions:
O 0.4178 0.2879 0.1841
Li 0.2819 0.0000 0.0000
Te 0.5901 0.5000 0.0000
Te 0.0755 0.0000 0.5000
O 0.5600 0.2887 0.6887
O 0.7387 0.2520 0.1417
Te 0.3972 0.5000 0.5000
O 0.9191 0.2157 0.6759
Sb 0.8973 0.0000 0.0000
O 0.4178 0.7121 0.8159
O 0.2454 0.2412 0.6418
O 0.7387 0.7480 0.8583
O 0.0798 0.7981 0.8185
O 0.0798 0.2019 0.1815
O 0.9191 0.7843 0.3241
O 0.2454 0.7588 0.3582
O 0.5600 0.7113 0.3113


5.
# LiSbTe2O

A relaxed structure of LiSbTe2O (PBE, the Alexandria database).

Output
Polymorph energy (0 for the lowest one) ... 383 kJ/mol of formula units
E_tot ... -2.801 eV/atom
E_form (uncorrected) ... 654.2 meV/atom
Density of states at the Fermi level ... 1.536 states/eV per atom
Total magnetization ... 0.00 μB/cell

Cell: 4.7632 4.7632 5.0506 Å, 90.00 90.00 90.00°
Fractional positions:
Te 0.0000 0.5000 0.0000
O 0.5000 0.5000 0.5000
Li 0.0000 0.0000 0.0000
Sb 0.0000 0.0000 0.5000
Te 0.5000 0.0000 0.0000


6.
# LiSbTe3O12

A relaxed structure of LiSbTe3O12 (PBE, the Alexandria database).

Output
Polymorph energy (0 for the lowest one) ... 47 kJ/mol of formula units
E_tot ... -5.455 eV/atom
E_form (uncorrected) ... -1045.4 meV/atom
Total magnetization ... 0.00 μB/cell

Cell: 5.1233 5.3343 7.4027 Å, 93.36 90.12 89.99°
Fractional positions:
O 0.6880 0.8161 0.5640
O 0.3175 0.1870 0.4318
Te 0.5013 0.4989 0.4947
Te 0.0027 0.0043 0.4969
O 0.6796 0.1927 0.9318
O 0.1842 0.3295 0.0616
Sb 0.9988 0.0050 0.0056
O 0.8111 0.3146 0.5670
O 0.7968 0.6961 0.9286
O 0.3298 0.8239 0.0468
O 0.8678 0.0022 0.2565
Li 0.4975 0.9267 0.7872
O 0.6361 0.5025 0.2497
O 0.3763 0.5218 0.7449
O 0.1283 0.0094 0.7439
O 0.1910 0.6905 0.4292
Te 0.4987 0.5005 0.0024